Material: As2RuSeBr
Method: DFT, PBE
State: relaxed

Cell and atoms, written as extended XYZ:
```
5
Lattice="-4.336 -0.472 -2.574 2.616 -0.870 -4.248 -0.046 -4.949 0.985" Properties=species:S:1:pos:R:3 pbc="T T T"
Ru -0.883 -3.146 -2.918
As 1.308 -0.435 -2.124
As -2.168 -0.236 -1.287
Se 0.000 0.000 0.000
Br -0.023 -2.475 0.493
```

Results
Crystal system: tetragonal
Space group: No. 123
Distance to the lowest polymorph of the same formula: 970 meV/atom
Formation energy from raw total energies: 1404 meV/atom



Material: PaBeSnO6
Method: DFT, PBE
State: relaxed

Cell and atoms, written as extended XYZ:
```
18
Lattice="-1.551 3.648 -3.155 -2.689 -4.270 0.454 -5.071 3.943 7.051" Properties=species:S:1:pos:R:3 pbc="T T T"
Pa 0.000 0.000 0.000
Pa -2.536 1.972 3.526
Be -3.198 1.994 -0.190
Be -6.113 1.327 4.539
Sn -3.578 -0.645 1.013
Sn -5.734 3.966 3.336
O -3.436 0.246 -0.853
O -3.094 2.652 -1.953
O -6.355 -0.419 3.871
O -6.217 0.669 6.302
O -3.307 1.333 1.572
O -5.065 2.257 -0.209
O -7.980 1.584 4.522
O -2.957 3.740 0.478
O -4.247 1.064 4.558
O -1.331 1.737 -0.173
O -6.004 1.988 2.777
O -5.876 3.075 5.202
```

Results
Crystal system: trigonal
Space group: No. 163
Formation energy from raw total energies: -2248 meV/atom



Material: Hf2FeHgH
Method: DFT, PBE
State: relaxed

Cell and atoms, written as extended XYZ:
```
5
Lattice="-1.065 0.803 -4.332 -2.746 -3.606 0.006 -2.824 2.152 1.093" Properties=species:S:1:pos:R:3 pbc="T T T"
H 0.000 0.000 0.000
Hf -1.373 -1.803 0.003
Hf -0.532 0.402 -2.166
Hg -3.317 -0.325 -1.616
Fe -1.412 1.076 0.546
```

Results
Crystal system: tetragonal
Space group: No. 123
Energy: -6.495 eV per atom



Material: Pr4Cu2Pt5
Method: DFT, PBE
State: relaxed

Cell and atoms, written as extended XYZ:
```
11
Lattice="-1.990 -0.730 -3.371 6.247 -1.873 -3.283 -1.190 -7.925 2.419" Properties=species:S:1:pos:R:3 pbc="T T T"
Pr 2.827 -6.674 -2.576
Pr -0.599 -7.742 -0.322
Pr 0.240 -3.853 -1.660
Pr 3.666 -2.785 -3.913
Cu -0.252 -5.101 1.253
Cu 5.308 -4.696 -2.117
Pt 3.161 -3.770 -1.050
Pt 0.670 -1.300 -0.114
Pt 3.124 -0.936 -1.641
Pt 4.387 -8.497 -0.750
Pt 1.895 -6.028 0.186
```

Results
Crystal system: monoclinic
DFT formation energy: -0.844 eV per atom
Space group: No. 10



Material: SrY2InCo
Method: DFT, PBE
State: relaxed

Cell and atoms, written as extended XYZ:
```
5
Lattice="-1.269 4.455 -2.442 -5.074 -0.981 0.847 0.262 2.555 4.526" Properties=species:S:1:pos:R:3 pbc="T T T"
Y -2.537 -0.490 0.424
Y -0.634 2.228 -1.221
Sr -3.040 3.015 1.466
Co 0.000 0.000 0.000
In 0.131 1.278 2.263
```

Results
Crystal system: tetragonal
DFT formation energy: -0.139 eV per atom
Space group: No. 123



Material: Tb2Co4C
Method: DFT, PBE
State: relaxed

Cell and atoms, written as extended XYZ:
```
7
Lattice="-2.846 -2.311 -1.089 2.119 -3.046 0.924 -3.090 -2.516 6.702" Properties=species:S:1:pos:R:3 pbc="T T T"
Co -1.407 -5.316 1.529
Co -2.410 -2.557 5.009
Co 1.060 -1.523 0.462
Co -1.423 -1.155 -0.544
C 0.000 0.000 0.000
Tb -2.565 -5.247 4.410
Tb -1.252 -2.625 2.128
```

Results
Crystal system: tetragonal
DFT formation energy: -0.065 eV per atom
Space group: No. 139



We obtain N(E_F) values of 6.027; 13.692; 3.683; 4.460; 3.337; 8.130 states/eV/cell for the records listed above, in that order.